1.
ZnInMoCl2 GGA-PBE relaxed; crystal system = tetragonal; formation energy (no corrections) = 0.0779 eV/atom; density = 4.8 g cm⁻³; calculated total energy = -18.15 eV for the cell shown; symmetry = P4/mmm
1.0
4.724 0.000 0.000
0.000 4.724 0.000
0.000 0.000 5.388
Zn In Mo Cl
1 1 1 2
direct
0.000 0.000 0.000 Zn
0.500 0.500 0.000 In
0.000 0.000 0.500 Mo
0.000 0.500 0.500 Cl
0.500 0.000 0.500 Cl



2.
Zr2InMoCl GGA-PBE relaxed; crystal system = tetragonal; formation energy (no corrections) = 0.6097 eV/atom; density = 6.3 g cm⁻³; calculated total energy = -29.46 eV for the cell shown; symmetry = P4/mmm
1.0
4.696 0.000 0.000
0.000 4.696 0.000
0.000 0.000 5.128
Zr In Mo Cl
2 1 1 1
direct
0.000 0.500 0.000 Zr
0.500 0.000 0.000 Zr
0.000 0.000 0.500 In
0.500 0.500 0.500 Mo
0.000 0.000 0.000 Cl



3.
ZrIn2MoCl GGA-PBE relaxed; crystal system = tetragonal; formation energy (no corrections) = 0.7824 eV/atom; density = 6.3 g cm⁻³; calculated total energy = -22.79 eV for the cell shown; symmetry = P4/mmm
1.0
5.208 0.000 0.000
0.000 5.208 0.000
0.000 0.000 4.387
Zr In Mo Cl
1 2 1 1
direct
0.000 0.000 0.000 Zr
0.000 0.500 0.500 In
0.500 0.000 0.500 In
0.500 0.500 0.000 Mo
0.500 0.500 0.500 Cl



4.
In2NCl GGA-PBE relaxed; crystal system = cubic; formation energy (no corrections) = 0.6453 eV/atom; density = 5.9 g cm⁻³; calculated total energy = -52.27 eV for the cell shown; symmetry = Fm-3m
1.0
6.780 0.000 0.000
0.000 6.780 0.000
0.000 0.000 6.780
In N Cl
8 4 4
direct
0.250 0.250 0.250 In
0.250 0.250 0.750 In
0.250 0.750 0.250 In
0.250 0.750 0.750 In
0.750 0.250 0.250 In
0.750 0.250 0.750 In
0.750 0.750 0.250 In
0.750 0.750 0.750 In
0.000 0.000 0.000 N
0.000 0.500 0.500 N
0.500 0.000 0.500 N
0.500 0.500 0.000 N
0.000 0.000 0.500 Cl
0.000 0.500 0.000 Cl
0.500 0.000 0.000 Cl
0.500 0.500 0.500 Cl



5.
InNCl2 GGA-PBE relaxed; crystal system = cubic; formation energy (no corrections) = 0.7884 eV/atom; density = 4.0 g cm⁻³; calculated total energy = -46.41 eV for the cell shown; symmetry = Fm-3m; relative energy among the computed polymorphs = 104 meV per atom
1.0
6.924 0.000 0.000
0.000 6.924 0.000
0.000 0.000 6.924
In N Cl
4 4 8
direct
0.000 0.000 0.000 In
0.000 0.500 0.500 In
0.500 0.000 0.500 In
0.500 0.500 0.000 In
0.000 0.000 0.500 N
0.000 0.500 0.000 N
0.500 0.000 0.000 N
0.500 0.500 0.500 N
0.250 0.250 0.250 Cl
0.250 0.250 0.750 Cl
0.250 0.750 0.250 Cl
0.250 0.750 0.750 Cl
0.750 0.250 0.250 Cl
0.750 0.250 0.750 Cl
0.750 0.750 0.250 Cl
0.750 0.750 0.750 Cl



6.
InNCl3 GGA-PBE relaxed; crystal system = triclinic; formation energy (no corrections) = 0.1933 eV/atom; density = 2.3 g cm⁻³; calculated total energy = -31.27 eV for the cell shown; symmetry = P1; relative energy among the computed polymorphs = 0 meV per atom
1.0
6.877 0.000 0.000
1.302 7.160 0.000
2.385 2.838 7.026
In N Cl
2 2 6
direct
0.000 0.000 0.000 In
0.429 0.147 0.122 In
0.625 0.808 0.706 N
0.805 0.340 0.416 N
0.097 0.793 0.825 Cl
0.105 0.927 0.292 Cl
0.324 0.221 0.830 Cl
0.333 0.355 0.297 Cl
0.648 0.835 0.216 Cl
0.781 0.312 0.906 Cl



7.
InNCl3 GGA-PBE relaxed; crystal system = cubic; formation energy (no corrections) = 0.3341 eV/atom; density = 2.9 g cm⁻³; calculated total energy = -14.93 eV for the cell shown; symmetry = Pm-3m; relative energy among the computed polymorphs = 141 meV per atom
1.0
5.103 0.000 0.000
0.000 5.103 0.000
0.000 0.000 5.103
In N Cl
1 1 3
direct
0.000 0.000 0.000 In
0.500 0.500 0.500 N
0.000 0.000 0.500 Cl
0.000 0.500 0.000 Cl
0.500 0.000 0.000 Cl



8.
In3NCl GGA-PBE relaxed; crystal system = cubic; formation energy (no corrections) = 0.2875 eV/atom; density = 5.4 g cm⁻³; calculated total energy = -16.95 eV for the cell shown; symmetry = Pm-3m; relative energy among the computed polymorphs = 0 meV per atom
1.0
4.954 0.000 0.000
0.000 4.954 0.000
0.000 0.000 4.954
In N Cl
3 1 1
direct
0.000 0.000 0.500 In
0.000 0.500 0.000 In
0.500 0.000 0.000 In
0.000 0.000 0.000 N
0.500 0.500 0.500 Cl



9.
InN2Cl3 GGA-PBE relaxed; crystal system = monoclinic; formation energy (no corrections) = 0.6877 eV/atom; density = 2.4 g cm⁻³; calculated total energy = -41.61 eV for the cell shown; symmetry = P2_1/m
1.0
6.053 0.000 0.000
0.000 7.483 0.000
-2.478 0.000 7.761
In N Cl
2 4 6
direct
0.060 0.250 0.032 In
0.940 0.750 0.968 In
0.316 0.750 0.189 N
0.367 0.250 0.252 N
0.633 0.750 0.748 N
0.684 0.250 0.811 N
0.146 0.001 0.841 Cl
0.146 0.499 0.841 Cl
0.430 0.750 0.391 Cl
0.570 0.250 0.609 Cl
0.854 0.501 0.159 Cl
0.854 0.999 0.159 Cl



10.
In2N2Cl GGA-PBE relaxed; crystal system = monoclinic; formation energy (no corrections) = -0.1269 eV/atom; density = 2.9 g cm⁻³; calculated total energy = -49.22 eV for the cell shown; symmetry = C2/m
1.0
11.758 0.000 0.000
0.000 3.369 0.000
-1.358 0.000 8.620
In N Cl
4 4 2
direct
0.195 0.000 0.140 In
0.305 0.500 0.860 In
0.695 0.500 0.140 In
0.805 0.000 0.860 In
0.048 0.500 0.507 N
0.452 0.000 0.493 N
0.548 0.000 0.507 N
0.952 0.500 0.493 N
0.000 0.500 0.000 Cl
0.500 0.000 0.000 Cl



11.
InNCl2 GGA-PBE relaxed; crystal system = trigonal; formation energy (no corrections) = 0.6970 eV/atom; density = 2.3 g cm⁻³; calculated total energy = -35.91 eV for the cell shown; symmetry = R-3m; relative energy among the computed polymorphs = 12 meV per atom
1.0
4.769 0.000 0.000
-2.384 4.130 0.000
0.000 0.000 22.279
In N Cl
3 3 6
direct
0.000 0.000 0.000 In
0.333 0.667 0.667 In
0.667 0.333 0.333 In
0.000 0.000 0.500 N
0.333 0.667 0.167 N
0.667 0.333 0.833 N
0.000 0.000 0.406 Cl
0.000 0.000 0.594 Cl
0.333 0.667 0.073 Cl
0.333 0.667 0.260 Cl
0.667 0.333 0.740 Cl
0.667 0.333 0.927 Cl



12.
InNCl3 GGA-PBE relaxed; crystal system = cubic; formation energy (no corrections) = 0.5212 eV/atom; density = 4.0 g cm⁻³; calculated total energy = -14.00 eV for the cell shown; symmetry = Pm-3m; relative energy among the computed polymorphs = 328 meV per atom
1.0
4.612 0.000 0.000
0.000 4.612 0.000
0.000 0.000 4.612
In N Cl
1 1 3
direct
0.000 0.000 0.000 In
0.500 0.500 0.500 N
0.000 0.500 0.500 Cl
0.500 0.000 0.500 Cl
0.500 0.500 0.000 Cl